First-principles (PBE+U) data for Na5Mn2P2C2O14 after structural relaxation, as listed in Alexandria.

a b c (Å): 8.437 8.490 9.098
angles (deg): 90.12 90.35 103.24
Space group P1 (No. 1)
Symmetry-distinct sites (fractional):
Na1 0.000 0.000 0.000 (multiplicity 1)
Na2 0.000 0.467 0.150 (multiplicity 1)
Na3 0.130 0.865 0.324 (multiplicity 1)
Na4 0.149 0.372 0.810 (multiplicity 1)
Na5 0.374 0.113 0.821 (multiplicity 1)
Na6 0.387 0.608 0.305 (multiplicity 1)
Na7 0.535 0.971 0.148 (multiplicity 1)
Na8 0.617 0.836 0.811 (multiplicity 1)
Na9 0.643 0.366 0.308 (multiplicity 1)
Na10 0.870 0.613 0.811 (multiplicity 1)
Mn1 0.237 0.222 0.425 (multiplicity 1)
Mn2 0.263 0.754 0.712 (multiplicity 1)
Mn3 0.748 0.732 0.417 (multiplicity 1)
Mn4 0.769 0.252 0.702 (multiplicity 1)
P1 0.037 0.514 0.481 (multiplicity 1)
P2 0.483 0.460 0.635 (multiplicity 1)
P3 0.524 0.016 0.491 (multiplicity 1)
P4 0.980 0.969 0.653 (multiplicity 1)
C1 0.244 0.725 0.007 (multiplicity 1)
C2 0.263 0.243 0.136 (multiplicity 1)
C3 0.743 0.231 0.990 (multiplicity 1)
C4 0.769 0.750 0.126 (multiplicity 1)
O1 0.055 0.032 0.505 (multiplicity 1)
O2 0.107 0.923 0.759 (multiplicity 1)
O3 0.120 0.397 0.392 (multiplicity 1)
O4 0.144 0.626 0.919 (multiplicity 1)
O5 0.161 0.143 0.225 (multiplicity 1)
O6 0.168 0.674 0.506 (multiplicity 1)
O7 0.227 0.712 0.147 (multiplicity 1)
O8 0.234 0.225 0.998 (multiplicity 1)
O9 0.334 0.307 0.614 (multiplicity 1)
O10 0.359 0.836 0.949 (multiplicity 1)
O11 0.379 0.346 0.197 (multiplicity 1)
O12 0.395 0.079 0.397 (multiplicity 1)
O13 0.425 0.585 0.729 (multiplicity 1)
O14 0.459 0.951 0.642 (multiplicity 1)
O15 0.546 0.523 0.483 (multiplicity 1)
O16 0.572 0.886 0.393 (multiplicity 1)
O17 0.618 0.401 0.724 (multiplicity 1)
O18 0.636 0.122 0.922 (multiplicity 1)
O19 0.650 0.648 0.187 (multiplicity 1)
O20 0.674 0.163 0.517 (multiplicity 1)
O21 0.758 0.239 0.129 (multiplicity 1)
O22 0.781 0.769 0.985 (multiplicity 1)
O23 0.835 0.819 0.630 (multiplicity 1)
O24 0.847 0.335 0.907 (multiplicity 1)
O25 0.878 0.841 0.212 (multiplicity 1)
O26 0.898 0.547 0.382 (multiplicity 1)
O27 0.916 0.103 0.739 (multiplicity 1)
O28 0.973 0.443 0.632 (multiplicity 1)

Computed properties:
Calculated volume   12.69 Å³/atom
Electronic total energy   -168.8 eV per formula unit
Total magnetization   5.03 μB per formula unit
Density   2.8 g/cm³
Energy above the lowest structure with this stoichiometry   0.14 kcal/mol of atoms